! Sr6Ag2H PBE optimized geometry; values from VASP
&SYSTEM
  ibrav = 0, nat = 18, ntyp = 3
/
ATOMIC_SPECIES
Ag 107.87 Ag.upf
Sr 87.62 Sr.upf
H 1.01 H.upf
ATOMIC_POSITIONS angstrom
Ag 3.4744 0.9683 7.9898
Sr 1.3189 2.6456 6.0065
Sr 1.0348 0.2604 2.7210
Sr 2.7433 4.4468 2.6037
Sr 4.8130 3.9260 8.0457
Sr 6.0290 5.6410 0.5961
Sr 4.8288 1.5408 0.6312
Sr 6.2375 5.7272 4.6430
H 0.1341 0.0000 5.3500
Ag 0.5721 5.1547 8.0350
Sr 2.7276 6.8320 10.0183
H 3.6440 4.1864 -0.0253
Sr 5.0372 1.4546 4.6780
Ag 6.9842 3.2181 2.6145
Sr 6.5215 8.1124 7.9284
Sr 2.5191 6.9182 5.9714
Sr 1.5273 2.7318 10.0533
Ag 4.0820 7.4045 2.6597
CELL_PARAMETERS angstrom
7.2880 0.0000 -0.0506
0.0000 8.3728 0.0000
0.2683 0.0000 10.7000
! Total DFT energy (no corrections), eV/atom: -2.350
! Spin magnetization, μB/atom: 0.00
! Density of states at the Fermi level, states/eV/cell: 12.62

! Er3MnTl3S8 PBE optimized geometry; values from VASP
&SYSTEM
  ibrav = 0, nat = 15, ntyp = 4
/
ATOMIC_SPECIES
S 32.06 S.upf
Tl 204.38 Tl.upf
Er 167.26 Er.upf
Mn 54.94 Mn.upf
ATOMIC_POSITIONS angstrom
S 3.8630 2.4654 2.4198
Tl -1.9316 3.3458 -0.0149
S 3.8630 0.0238 5.3216
Tl 0.0000 0.0000 0.0000
Er 1.9314 1.1322 3.8091
Tl 1.9315 3.3458 -0.0150
S 5.9893 -1.2171 2.4365
Er 3.8630 -2.2136 3.8239
Er -1.9317 1.1322 3.8092
Mn -0.0001 -2.2136 3.8241
S -0.0001 2.2406 2.2965
S 2.1259 3.4814 5.1817
S -2.1264 3.4815 5.1816
S 1.7370 -1.2170 2.4365
S -0.0002 -0.2011 5.1983
CELL_PARAMETERS angstrom
7.7263 0.0000 -0.0003
-3.8632 6.6917 -0.0297
-0.0003 -4.4272 7.6481
! Total DFT energy (no corrections), eV/atom: -5.435
! Spin magnetization, μB/atom: 0.20
! Density of states at the Fermi level, states/eV/cell: 0.76

! La6Tl2N PBE optimized geometry; values from VASP
&SYSTEM
  ibrav = 0, nat = 9, ntyp = 3
/
ATOMIC_SPECIES
Tl 204.38 Tl.upf
La 138.91 La.upf
N 14.01 N.upf
ATOMIC_POSITIONS angstrom
Tl -0.9355 0.6044 5.1925
La -3.3817 0.9895 7.3886
N -1.6634 -0.8958 0.2715
La -1.5028 -2.6857 4.6445
La -2.3721 3.9561 5.5994
La -2.7941 1.1540 2.4281
Tl -1.9997 4.2913 1.7344
La -0.3124 -1.8537 8.1521
La 0.0772 -0.8607 2.1028
CELL_PARAMETERS angstrom
-3.3630 -1.3875 -0.4444
0.3146 -3.5060 8.5659
-3.2438 8.3348 -1.4757
! Distance to the lowest polymorph of the same formula, meV/atom: 167.2
! Spin magnetization, μB/atom: 0.00
! Density of states at the Fermi level, states/eV/cell: 7.67

! NaMnZnSi2 PBE optimized geometry; values from VASP
&SYSTEM
  ibrav = 0, nat = 5, ntyp = 4
/
ATOMIC_SPECIES
Si 28.09 Si.upf
Mn 54.94 Mn.upf
Na 22.99 Na.upf
Zn 65.41 Zn.upf
ATOMIC_POSITIONS angstrom
Si -0.7992 0.9636 1.8184
Mn 0.0000 0.0000 0.0000
Na -0.1454 -2.4683 1.2441
Si 2.0546 0.2637 0.7633
Zn 1.1101 -1.2410 3.8258
CELL_PARAMETERS angstrom
-1.5984 1.9272 3.6367
-0.2908 -4.9365 2.4882
4.1093 0.5274 1.5266
! Total DFT energy (no corrections), eV/atom: -4.077
! Spin magnetization, μB/atom: 0.32
! Density of states at the Fermi level, states/eV/cell: 3.69

! TbSm2Sb PBE optimized geometry; values from VASP
&SYSTEM
  ibrav = 0, nat = 4, ntyp = 3
/
ATOMIC_SPECIES
Tb 158.93 Tb.upf
Sb 121.76 Sb.upf
Sm 150.36 Sm.upf
ATOMIC_POSITIONS angstrom
Tb -2.0361 0.0785 2.1529
Sb -1.2005 -3.1076 3.0594
Sm 1.2192 -4.6489 1.3226
Sm 0.4520 -1.7234 0.4903
CELL_PARAMETERS angstrom
-0.0074 1.1453 4.0327
-4.0648 -0.9883 0.2732
1.6712 -6.3723 1.8129
! Distance to the lowest polymorph of the same formula, meV/atom: 52.2
! Spin magnetization, μB/atom: 0.00
! Density of states at the Fermi level, states/eV/cell: 4.59

! UPa2Te6 PBE optimized geometry; values from VASP
&SYSTEM
  ibrav = 0, nat = 18, ntyp = 3
/
ATOMIC_SPECIES
Te 127.60 Te.upf
Pa 231.04 Pa.upf
U 238.03 U.upf
ATOMIC_POSITIONS angstrom
Te -5.2462 -0.1105 -0.3346
Te -6.4691 3.4931 -0.9126
Pa -3.3316 2.2045 -1.2959
Te -1.9288 -0.6083 -1.9336
Te -7.1826 1.8240 2.8048
Te -4.0843 -2.0216 -5.4999
U -4.4338 0.7109 2.4516
Te -7.2409 -1.3145 -3.6708
Te -8.8752 0.2508 -0.6732
Pa -10.3783 -0.0259 -3.2875
U -2.4212 0.3784 -4.7433
Te -9.6257 4.2002 0.9165
Te -6.5273 0.3547 -7.3882
Pa -9.2091 4.5659 -2.1886
Te -4.8347 1.9278 -3.9102
Pa -4.5009 -2.3873 -2.3948
Te -8.4637 2.2891 -4.2488
Te -11.7812 2.7869 -2.6498
CELL_PARAMETERS angstrom
-1.1655 5.5416 -4.2245
-3.6770 -4.7848 -5.2622
-8.8675 1.4219 4.9033
! Total DFT energy (no corrections), eV/atom: -6.151
! Spin magnetization, μB/atom: 0.45
! Density of states at the Fermi level, states/eV/cell: 26.00